[1]
Compound: DyMgScHg
Source: Alexandria
Functional: PBE-GGA
Structure: relaxed

Cell and atoms, written as POSCAR:
```
DyMgScHg
1.0
3.667 0.000 0.000
0.000 3.667 0.000
0.000 0.000 7.225
Dy Mg Sc Hg
1 1 1 1
Cartesian
0.000 0.000 0.000
1.834 1.834 5.241
0.000 0.000 3.557
1.834 1.834 1.935
```

E_tot: -13.85 eV for the cell shown
SG: P4mm
Calculated formation energy: -256.0 meV/atom
Excess energy over the best structure of this formula in the dataset: 0 meV per atom

[2]
Compound: Ce3Ru2
Source: Alexandria
Functional: PBE-GGA
Structure: relaxed

Cell and atoms, written as POSCAR:
```
Ce3Ru2
1.0
4.228 2.441 5.559
-4.228 2.441 5.559
0.000 -4.882 5.559
Ce Ru
9 6
Cartesian
0.000 0.000 0.000
-2.083 0.124 6.812
0.000 0.000 3.370
-1.148 -1.742 9.865
0.934 -1.865 6.812
-0.934 1.865 9.865
1.148 1.742 6.812
0.000 0.000 13.307
2.083 -0.124 9.865
-1.556 -2.904 7.138
-3.293 -0.105 9.539
-1.737 2.800 7.138
1.737 -2.800 9.539
3.293 0.105 7.138
1.556 2.904 9.539
```

E_tot: -113.88 eV for the cell shown
SG: R-3
Calculated formation energy: -321.6 meV/atom
Excess energy over the best structure of this formula in the dataset: 0 meV per atom

[3]
Compound: CeCd4Pt2
Source: Alexandria
Functional: PBE-GGA
Structure: relaxed

Cell and atoms, written as POSCAR:
```
CeCd4Pt2
1.0
4.325 0.000 0.000
0.000 18.164 0.000
0.000 0.000 3.893
Ce Cd Pt
2 8 4
Cartesian
0.000 0.000 0.000
2.162 9.082 0.000
0.000 3.105 1.946
0.000 5.685 0.000
0.000 12.479 0.000
0.000 15.059 1.946
2.162 3.397 0.000
2.162 5.977 1.946
2.162 12.187 1.946
2.162 14.767 0.000
0.000 7.783 1.946
0.000 10.381 1.946
2.162 1.299 1.946
2.162 16.865 1.946
```

E_tot: -49.43 eV for the cell shown
SG: Cmmm
Calculated formation energy: -434.5 meV/atom

[4]
Compound: Ca2MgCu3Sn4
Source: Alexandria
Functional: PBE-GGA
Structure: relaxed

Cell and atoms, written as POSCAR:
```
Ca2MgCu3Sn4
1.0
4.431 0.000 0.000
0.000 4.431 0.000
0.000 0.000 11.568
Ca Mg Cu Sn
2 1 3 4
Cartesian
0.000 2.216 2.838
2.216 0.000 8.730
0.000 0.000 5.784
0.000 2.216 10.021
2.216 0.000 1.547
2.216 2.216 5.784
0.000 0.000 0.000
0.000 2.216 7.477
2.216 0.000 4.091
2.216 2.216 0.000
```

E_tot: -36.97 eV for the cell shown
SG: P-4m2
Calculated formation energy: -307.4 meV/atom

[5]
Compound: Pm3NiP2Rh9
Source: Alexandria
Functional: PBE-GGA
Structure: relaxed

Cell and atoms, written as POSCAR:
```
Pm3NiP2Rh9
1.0
6.125 0.000 0.000
-3.062 5.304 0.000
0.000 0.000 8.467
Pm Ni P Rh
3 1 2 9
Cartesian
0.000 0.000 0.000
0.000 3.536 5.477
3.062 1.768 2.990
0.000 0.000 4.233
0.000 3.536 1.427
3.062 1.768 7.040
-1.531 2.652 0.000
0.000 1.629 2.478
-1.652 4.490 2.478
1.411 0.815 5.988
3.062 0.000 0.000
1.531 2.652 0.000
1.652 4.490 2.478
4.714 0.815 5.988
3.062 3.675 5.988
```

E_tot: -104.89 eV for the cell shown
SG: P-3m1
Calculated formation energy: -525.2 meV/atom

[6]
Compound: Sc4InO
Source: Alexandria
Functional: PBE-GGA
Structure: relaxed

Cell and atoms, written as POSCAR:
```
Sc4InO
1.0
7.137 -2.698 0.000
7.137 2.698 0.000
-1.653 0.000 6.140
Sc In O
8 2 2
Cartesian
0.801 0.287 2.679
-0.025 -0.287 5.749
2.936 0.288 5.023
3.763 -0.288 1.953
8.857 0.288 4.187
9.683 -0.288 1.117
12.645 0.287 0.391
11.818 -0.287 3.461
6.723 0.329 1.535
5.897 -0.329 4.605
2.742 1.349 3.070
3.568 -1.349 0.000
```

E_tot: -79.57 eV for the cell shown
SG: C2/c
ΔE_f (raw): -6.8 eV/f.u.

| no. | density of states at the Fermi level (states/eV/atom) |
| --- | --- |
| 1 | 1.116 |
| 2 | 1.832 |
| 3 | 1.151 |
| 4 | 0.400 |
| 5 | 0.822 |
| 6 | 1.121 |